Compound: Sm6GeTe3Se2
Source: Alexandria
Functional: PBE
Structure: relaxed

```
Sm6GeTe3Se2
1.0
3.711 -6.421 0.000
3.711 6.421 0.000
-2.467 0.000 7.235
Sm Ge Te Se
6 1 3 2
Cartesian
1.210 2.096 1.592
-0.050 0.000 5.638
1.210 -2.096 1.592
3.745 2.096 5.642
5.005 0.000 1.597
3.745 -2.096 5.642
0.000 0.000 0.000
2.477 4.260 3.617
2.477 0.000 3.617
2.477 -4.260 3.617
3.711 2.136 0.000
3.711 -2.136 0.000
```

Properties
As for the calculated density: 7.30 g/cm³. As for the energy relative to the elements, uncorrected: -1.52 eV/atom. For the volume, the calculation gives 28.73 Å³ per atom. As for the magnetic moment: 0.00 μB/cell.